(1)
A plane-wave DFT calculation with PBE was carried out for a relaxed structure of Li3Pu2AuS6.

Values from the calculation:
DOS at the Fermi energy, states/eV/cell: 11.51
Total energy, eV/atom: -6.380
Formation energy without anion corrections, eV per atom: -1.1756

Cell: 6.5952 6.5952 6.6062 Å, 100.29 100.29 118.83°
With the nearest neighbours (Å) after each atom.
Element x y z (fractional)
Li  0.0000  0.0000  0.0000  6 S 2.60-2.68
Li  0.3422  0.6578  0.0000  6 S 2.62-2.78
Li  0.6578  0.3422  0.0000  6 S 2.62-2.78
Pu  0.1679  0.8321  0.5000  6 S 2.67-2.70
Pu  0.8321  0.1679  0.5000  6 S 2.67-2.70
Au  0.5000  0.5000  0.5000  6 S 2.72-2.88
S  0.0740  0.4128  0.2499  2 Pu 2.67-2.70, 3 Li 2.68-2.78, 1 Au 2.72
S  0.2356  0.2356  0.7612  3 Li 2.60-2.62, 2 Pu 2.68, 1 Au 2.88
S  0.4128  0.0740  0.2499  2 Pu 2.67-2.70, 3 Li 2.68-2.78, 1 Au 2.72
S  0.5872  0.9260  0.7501  2 Pu 2.67-2.70, 3 Li 2.68-2.78, 1 Au 2.72
S  0.7644  0.7644  0.2388  3 Li 2.60-2.62, 2 Pu 2.68, 1 Au 2.88
S  0.9260  0.5872  0.7501  2 Pu 2.67-2.70, 3 Li 2.68-2.78, 1 Au 2.72

=====

(2)
A plane-wave DFT calculation with PBE was carried out for a relaxed structure of Li2PuSb2Au2.

Values from the calculation:
DOS at the Fermi energy, states/eV/cell: 12.94
Total energy, eV/atom: -5.254
Formation energy without anion corrections, eV per atom: -0.5453

Cell: 8.6376 8.6376 8.6376 Å, 30.54 30.54 30.54°
With the nearest neighbours (Å) after each atom.
Element x y z (fractional)
Li  0.1439  0.1439  0.1439  3 Au 2.77, 3 Li 2.86, 1 Sb 2.93
Li  0.8561  0.8561  0.8561  3 Au 2.77, 3 Li 2.86, 1 Sb 2.93
Pu  0.0000  0.0000  0.0000  6 Sb 3.16
Sb  0.2624  0.2624  0.2624  3 Au 2.78, 1 Li 2.93
Sb  0.7376  0.7376  0.7376  3 Au 2.78, 1 Li 2.93
Au  0.4417  0.4417  0.4417  3 Li 2.77, 3 Sb 2.78, 1 Au 2.88
Au  0.5583  0.5583  0.5583  3 Li 2.77, 3 Sb 2.78, 1 Au 2.88

=====

(3)
A plane-wave DFT calculation with PBE was carried out for a relaxed structure of LiPuSc2Au4.

Values from the calculation:
DOS at the Fermi energy, states/eV/cell: 13.36
Total energy, eV/atom: -5.847
Energy of formation, meV/atom: -594

Cell: 8.6085 8.6085 8.6085 Å, 32.25 32.25 32.25°
With the nearest neighbours (Å) after each atom.
Element x y z (fractional)
Li  0.0000  0.0000  0.0000  8 Au 2.68-2.93
Pu  0.5000  0.5000  0.5000  8 Au 3.09
Sc  0.2571  0.2571  0.2571  7 Au 2.85-2.90
Sc  0.7429  0.7429  0.7429  7 Au 2.85-2.90
Au  0.1098  0.1098  0.1098  1 Li 2.68, 3 Sc 2.88
Au  0.3736  0.3736  0.3736  4 Sc 2.85-2.90, 3 Li 2.93, 1 Pu 3.09
Au  0.6264  0.6264  0.6264  4 Sc 2.85-2.90, 3 Li 2.93, 1 Pu 3.09
Au  0.8902  0.8902  0.8902  1 Li 2.68, 3 Sc 2.88

=====

(4)
A plane-wave DFT calculation with PBE was carried out for a relaxed structure of LiPu2Si3Au4.

Values from the calculation:
DOS at the Fermi energy, states/eV/cell: 28.56
Total energy, eV/atom: -6.409
Formation energy without anion corrections, eV per atom: -0.4135

Cell: 4.3061 4.3061 10.3025 Å, 90.00 90.00 90.00°
With the nearest neighbours (Å) after each atom.
Element x y z (fractional)
Li  0.0000  0.0000  0.0000  4 Au 2.50
Pu  0.0000  0.5000  0.7462  6 Si 3.23-3.39, 8 Au 3.32-3.33, 2 Li 3.39
Pu  0.5000  0.0000  0.2538  6 Si 3.23-3.39, 8 Au 3.32-3.33, 2 Li 3.39
Si  0.0000  0.5000  0.3594  5 Au 2.42-2.59
Si  0.5000  0.0000  0.6406  5 Au 2.42-2.59
Si  0.5000  0.5000  0.0000  4 Au 2.50
Au  0.0000  0.0000  0.5000  4 Si 2.59
Au  0.0000  0.5000  0.1242  3 Si 2.42-2.50, 2 Li 2.50
Au  0.5000  0.0000  0.8758  3 Si 2.42-2.50, 2 Li 2.50
Au  0.5000  0.5000  0.5000  4 Si 2.59